Crystalline Rb3La3PuO8 at its relaxed geometry, computed with PBE.

Output
The calculation puts the formation energy from raw total energies at -40.694 eV/f.u. For the magnetic moment, the calculation gives 4.0 μB/f.u.

Cell lengths 7.895, 7.895, 7.895 Å; angles 55.77, 55.77, 55.77 degrees
Sites, in units of the cell vectors:
Rb  0.000  0.500  0.500
Rb  0.500  0.000  0.500
Rb  0.500  0.500  0.000
La  0.000  0.000  0.500
La  0.000  0.500  0.000
La  0.500  0.000  0.000
Pu  0.500  0.500  0.500
O  0.225  0.225  0.225
O  0.248  0.710  0.710
O  0.290  0.290  0.752
O  0.290  0.752  0.290
O  0.710  0.248  0.710
O  0.710  0.710  0.248
O  0.752  0.290  0.290
O  0.775  0.775  0.775

***

Crystalline Pr8TcPd2 at its relaxed geometry, computed with PBE.

Output
For the magnetic moment, the calculation gives 0.0 μB/f.u. The value obtained for the formation energy is -1.71 eV per formula unit.

Cell lengths 8.005, 8.005, 6.213 Å; angles 101.25, 101.25, 115.57 degrees
Sites, in units of the cell vectors:
Pr  0.000  0.000  0.000
Pr  0.025  0.273  0.587
Pr  0.161  0.570  0.182
Pr  0.273  0.025  0.587
Pr  0.452  0.699  0.799
Pr  0.570  0.161  0.182
Pr  0.699  0.452  0.799
Pr  0.718  0.718  0.355
Tc  0.352  0.352  0.062
Pd  0.053  0.662  0.678
Pd  0.662  0.053  0.678

***

Crystalline AcGa2Os at its relaxed geometry, computed with PBE.

Output
For the magnetic moment, the calculation gives 0.0 μB/f.u. The value obtained for the formation energy is -1.17 eV per formula unit.

Cell lengths 6.066, 6.066, 6.066 Å; angles 41.89, 41.89, 41.89 degrees
Sites, in units of the cell vectors:
Ac  0.000  0.000  0.000
Ga  0.206  0.206  0.206
Ga  0.794  0.794  0.794
Os  0.500  0.500  0.500

***

Crystalline Er2PdC at its relaxed geometry, computed with PBE.

Output
For the magnetic moment, the calculation gives 0.0 μB/f.u. The value obtained for the formation energy is -2.08 eV per formula unit.

Cell lengths 7.136, 7.136, 7.136 Å; angles 29.22, 29.22, 29.22 degrees
Sites, in units of the cell vectors:
Er  0.232  0.232  0.232
Er  0.768  0.768  0.768
Pd  0.000  0.000  0.000
C  0.500  0.500  0.500

***

Crystalline RbGePb3 at its relaxed geometry, computed with PBE.

Output
The energy above the lowest structure with this stoichiometry is 1.1130 eV/atom. For the magnetic moment, the calculation gives 0.0 μB/f.u. The value obtained for the formation energy is 6.68 eV per formula unit.

Cell lengths 6.090, 6.090, 6.090 Å; angles 90.00, 90.00, 90.00 degrees
Sites, in units of the cell vectors:
Rb  0.000  0.000  0.000
Ge  0.500  0.500  0.500
Pb  0.000  0.000  0.500
Pb  0.000  0.500  0.000
Pb  0.500  0.000  0.000

***

Crystalline CeYNp2As4 at its relaxed geometry, computed with PBE.

Output
For the magnetic moment, the calculation gives 8.5 μB/f.u. The value obtained for the formation energy is -8.65 eV per formula unit.

Cell lengths 7.173, 4.138, 7.175 Å; angles 90.00, 109.43, 90.00 degrees
Sites, in units of the cell vectors:
Ce  0.000  0.000  0.000
Y  0.500  0.500  0.000
Np  0.000  0.500  0.500
Np  0.500  0.000  0.500
As  0.251  0.000  0.745
As  0.255  0.500  0.256
As  0.745  0.500  0.744
As  0.749  0.000  0.255

***

Crystalline LiSn2Hg2 at its relaxed geometry, computed with PBE.

Output
The energy above the lowest structure with this stoichiometry is 0.1223 eV/atom. For the magnetic moment, the calculation gives 0.0 μB/f.u. The value obtained for the formation energy is -0.06 eV per formula unit.

Cell lengths 7.858, 7.858, 4.212 Å; angles 90.00, 90.00, 90.00 degrees
Sites, in units of the cell vectors:
Li  0.000  0.000  0.000
Li  0.500  0.500  0.000
Sn  0.138  0.362  0.000
Sn  0.362  0.862  0.000
Sn  0.638  0.138  0.000
Sn  0.862  0.638  0.000
Hg  0.168  0.668  0.500
Hg  0.332  0.168  0.500
Hg  0.668  0.832  0.500
Hg  0.832  0.332  0.500

***

Crystalline Sc3Ga2Ni7 at its relaxed geometry, computed with PBE.

Output
For the magnetic moment, the calculation gives 0.0 μB/f.u. The value obtained for the formation energy is -6.22 eV per formula unit.

Cell lengths 8.273, 8.273, 8.273 Å; angles 35.17, 35.17, 35.17 degrees
Sites, in units of the cell vectors:
Sc  0.000  0.000  0.000
Sc  0.141  0.141  0.141
Sc  0.859  0.859  0.859
Ga  0.334  0.334  0.334
Ga  0.666  0.666  0.666
Ni  0.082  0.586  0.586
Ni  0.414  0.414  0.918
Ni  0.414  0.918  0.414
Ni  0.500  0.500  0.500
Ni  0.586  0.082  0.586
Ni  0.586  0.586  0.082
Ni  0.918  0.414  0.414

***

Which formula does entry 5 have?
RbGePb3

***

Which formula does entry 7 have?
LiSn2Hg2

***

Copy entry 5 word for word.
Crystalline RbGePb3 at its relaxed geometry, computed with PBE.

Output
The energy above the lowest structure with this stoichiometry is 1.1130 eV/atom. For the magnetic moment, the calculation gives 0.0 μB/f.u. The value obtained for the formation energy is 6.68 eV per formula unit.

Cell lengths 6.090, 6.090, 6.090 Å; angles 90.00, 90.00, 90.00 degrees
Sites, in units of the cell vectors:
Rb  0.000  0.000  0.000
Ge  0.500  0.500  0.500
Pb  0.000  0.000  0.500
Pb  0.000  0.500  0.000
Pb  0.500  0.000  0.000

***

Which formula does entry 4 have?
Er2PdC